Computed, not measured: a crystal of BaFePbN2 relaxed with PBEsol at the meta-GGA SCAN level of DFT.

Results
Symmetry   P4/mmm (123)
Total magnetic moment   0.88 μB/atom
Formation energy without anion corrections   1169.7 meV/atom

abc: 4.5840 4.5840 4.8751
angles: 90.00 90.00 90.00
Sites, in units of the cell vectors:
Ba1 0.0000 0.0000 0.0000
Fe1 0.5000 0.5000 0.0000
Pb1 0.5000 0.5000 0.5000
N1 0.0000 0.5000 0.5000
N2 0.5000 0.0000 0.5000

---

Computed, not measured: a crystal of BaNb3Fe relaxed with PBEsol at the meta-GGA SCAN level of DFT.

Results
Symmetry   Pm-3m (221)
Total magnetic moment   0.64 μB/atom
DFT formation energy   274 kJ per mole of atoms

abc: 4.9707 4.9707 4.9707
angles: 90.00 90.00 90.00
Sites, in units of the cell vectors:
Ba1 0.0000 0.0000 0.0000
Nb1 0.0000 0.0000 0.5000
Nb2 0.0000 0.5000 0.0000
Nb3 0.5000 0.0000 0.0000
Fe1 0.5000 0.5000 0.5000

---

Computed, not measured: a crystal of BaNb4Fe2O14 relaxed with PBEsol at the meta-GGA SCAN level of DFT.

Results
Symmetry   P-1 (2)
Total magnetic moment   0.10 μB/atom
Formation energy without anion corrections   -2391.3 meV/atom

abc: 6.2676 6.6161 8.7665
angles: 68.19 76.75 83.58
Sites, in units of the cell vectors:
Ba1 0.0000 0.0000 0.0000
Nb1 0.2966 0.8460 0.6379
Nb2 0.4725 0.6403 0.2066
Nb3 0.5275 0.3597 0.7934
Nb4 0.7034 0.1540 0.3621
Fe1 0.3028 0.1551 0.2171
Fe2 0.6972 0.8449 0.7829
O1 0.0016 0.8379 0.7291
O2 0.2829 0.8583 0.2545
O3 0.3061 0.4556 0.1750
O4 0.3203 0.2294 0.9866
O5 0.3306 0.1008 0.4385
O6 0.3588 0.5526 0.6343
O7 0.3810 0.8807 0.8211
O8 0.6190 0.1193 0.1789
O9 0.6412 0.4474 0.3657
O10 0.6694 0.8992 0.5615
O11 0.6797 0.7706 0.0134
O12 0.6939 0.5444 0.8250
O13 0.7171 0.1417 0.7455
O14 0.9984 0.1621 0.2709

---

Computed, not measured: a crystal of BaNdFe2O5 relaxed with PBEsol at the meta-GGA SCAN level of DFT.

Results
Symmetry   P4/mmm (123)
Total magnetic moment   0.94 μB/atom
Formation energy without anion corrections   -2494.1 meV/atom

abc: 3.8938 3.8938 7.4493
angles: 90.00 90.00 90.00
Sites, in units of the cell vectors:
Ba1 0.0000 0.0000 0.0000
Nd1 0.0000 0.0000 0.5000
Fe1 0.5000 0.5000 0.2678
Fe2 0.5000 0.5000 0.7322
O1 0.0000 0.5000 0.2961
O2 0.0000 0.5000 0.7039
O3 0.5000 0.0000 0.2961
O4 0.5000 0.0000 0.7039
O5 0.5000 0.5000 0.0000

---

Computed, not measured: a crystal of BaNdFe2O6 relaxed with PBEsol at the meta-GGA SCAN level of DFT.

Results
Symmetry   Fm-3m (225)
Total magnetic moment   0.78 μB/atom
Formation energy without anion corrections   -2423.5 meV/atom

abc: 5.4319 5.4319 5.4319
angles: 60.00 60.00 60.00
Sites, in units of the cell vectors:
Ba1 0.0000 0.0000 0.0000
Nd1 0.5000 0.5000 0.5000
Fe1 0.2500 0.2500 0.2500
Fe2 0.7500 0.7500 0.7500
O1 0.0000 0.0000 0.5000
O2 0.0000 0.5000 0.0000
O3 0.0000 0.5000 0.5000
O4 0.5000 0.0000 0.0000
O5 0.5000 0.0000 0.5000
O6 0.5000 0.5000 0.0000

---

Computed, not measured: a crystal of BaFe2Ni relaxed with PBEsol at the meta-GGA SCAN level of DFT.

Results
Symmetry   P4mm (99)
Total magnetic moment   1.59 μB/atom
DFT formation energy   47 kJ per mole of atoms

abc: 3.1004 3.1004 7.2518
angles: 90.00 90.00 90.00
Sites, in units of the cell vectors:
Ba1 0.0000 0.0000 0.0000
Fe1 0.0000 0.0000 0.5129
Fe2 0.5000 0.5000 0.3522
Ni1 0.5000 0.5000 0.6709